1.
Density functional theory data (PBE) for a relaxed structure of PmUTe6.

abc: 4.3909 4.3923 13.5168
angles: 90.00 99.35 90.00
Atoms (fractional coordinates):
Pm1 0.8288 0.0000 0.6577
U1 0.1704 0.5000 0.3408
Te1 0.5809 0.5000 0.1618
Te2 0.4219 0.0000 0.8438
Te3 0.2910 0.5000 0.5820
Te4 0.7041 0.0000 0.4083
Te5 0.9220 0.5000 0.8440
Te6 0.0809 0.0000 0.1618

Summary:
- Fermi-level density of states (states/eV per atom) = 1.163
- formation energy from raw total energies (eV/atom) = -0.76
- total magnetization (μB/atom) = 0.29

2.
Density functional theory data (PBE) for a relaxed structure of LaNd3Sb2.

abc: 4.6071 4.6071 8.9532
angles: 90.00 90.00 90.00
Atoms (fractional coordinates):
La1 0.5000 0.5000 0.0000
Nd1 0.5000 0.0000 0.3581
Nd2 0.0000 0.5000 0.6419
Nd3 0.0000 0.0000 0.0000
Sb1 0.5000 0.0000 0.7189
Sb2 0.0000 0.5000 0.2811

Summary:
- Fermi-level density of states (states/eV per atom) = 1.045
- formation energy from raw total energies (eV/atom) = -0.82
- total magnetization (μB/atom) = 0.00
- energy relative to the lowest polymorph listed for this composition (meV/atom) = 0.0

3.
Density functional theory data (PBE) for a relaxed structure of LaTiPd6.

abc: 4.0880 4.0880 8.1330
angles: 90.00 90.00 90.00
Atoms (fractional coordinates):
La1 0.0000 0.0000 0.0000
Ti1 0.0000 0.0000 0.5000
Pd1 0.5000 0.5000 0.0000
Pd2 0.5000 0.5000 0.5000
Pd3 0.5000 0.0000 0.2730
Pd4 0.5000 0.0000 0.7270
Pd5 0.0000 0.5000 0.2730
Pd6 0.0000 0.5000 0.7270

Summary:
- Fermi-level density of states (states/eV per atom) = 0.145
- formation energy (eV/atom) = -0.71
- total magnetization (μB/atom) = 0.00

4.
Density functional theory data (PBE) for a relaxed structure of Ca3Pa3PdN8.

abc: 6.9468 6.9312 6.9543
angles: 120.29 90.00 120.07
Atoms (fractional coordinates):
Ca1 0.0000 0.0000 0.0000
Ca2 0.0000 0.5000 0.0000
Ca3 0.5000 0.5000 0.0000
Pa1 0.5000 0.0000 0.5000
Pa2 0.5000 0.5000 0.5000
Pa3 0.0000 0.5000 0.5000
Pd1 0.0000 0.0000 0.5000
N1 0.2580 0.5160 0.2742
N2 0.7420 0.4840 0.7258
N3 0.7704 0.5408 0.3018
N4 0.2296 0.4592 0.6982
N5 0.7585 0.0372 0.2932
N6 0.2415 0.9628 0.7068
N7 0.2787 0.0372 0.2932
N8 0.7213 0.9628 0.7068

Summary:
- Fermi-level density of states (states/eV per atom) = 0.239
- formation energy from raw total energies (eV/atom) = -1.07
- total magnetization (μB/atom) = 0.00

5.
Density functional theory data (PBE) for a relaxed structure of CaAgHg.

abc: 4.6511 6.0339 5.7600
angles: 90.00 113.80 90.00
Atoms (fractional coordinates):
Ca1 0.8028 0.2500 0.6061
Ca2 0.1972 0.7500 0.3939
Hg1 0.1049 0.2500 0.2096
Hg2 0.8951 0.7500 0.7904
Ag1 0.5000 0.0000 0.0000
Ag2 0.5000 0.5000 0.0000

Summary:
- Fermi-level density of states (states/eV per atom) = 0.550
- formation energy (eV/atom) = -0.37
- total magnetization (μB/atom) = 0.00

6.
Density functional theory data (PBE) for a relaxed structure of SrZn2AgGe.

abc: 4.4963 4.3956 6.2485
angles: 110.59 111.09 90.00
Atoms (fractional coordinates):
Sr1 0.4399 0.4399 0.8799
Zn1 0.6933 0.1933 0.3867
Zn2 0.0589 0.0589 0.1178
Ag1 0.1949 0.6949 0.3897
Ge1 0.8251 0.8251 0.6502

Summary:
- Fermi-level density of states (states/eV per atom) = 0.402
- formation energy (eV/atom) = -0.30
- total magnetization (μB/atom) = 0.00

Repeat the sixth record exactly.
Density functional theory data (PBE) for a relaxed structure of SrZn2AgGe.

abc: 4.4963 4.3956 6.2485
angles: 110.59 111.09 90.00
Atoms (fractional coordinates):
Sr1 0.4399 0.4399 0.8799
Zn1 0.6933 0.1933 0.3867
Zn2 0.0589 0.0589 0.1178
Ag1 0.1949 0.6949 0.3897
Ge1 0.8251 0.8251 0.6502

Summary:
- Fermi-level density of states (states/eV per atom) = 0.402
- formation energy (eV/atom) = -0.30
- total magnetization (μB/atom) = 0.00

What did the third record say?
Density functional theory data (PBE) for a relaxed structure of LaTiPd6.

abc: 4.0880 4.0880 8.1330
angles: 90.00 90.00 90.00
Atoms (fractional coordinates):
La1 0.0000 0.0000 0.0000
Ti1 0.0000 0.0000 0.5000
Pd1 0.5000 0.5000 0.0000
Pd2 0.5000 0.5000 0.5000
Pd3 0.5000 0.0000 0.2730
Pd4 0.5000 0.0000 0.7270
Pd5 0.0000 0.5000 0.2730
Pd6 0.0000 0.5000 0.7270

Summary:
- Fermi-level density of states (states/eV per atom) = 0.145
- formation energy (eV/atom) = -0.71
- total magnetization (μB/atom) = 0.00

Among the records above, which one has the highest total magnetization?
PmUTe6